No. 1
DFT (PBE) results for a geometry-optimized Pu3Mg structure.

Unit cell a=4.7453 b=4.7453 c=4.7453 alpha=90.00 beta=90.00 gamma=90.00
With the nearest neighbours (Å) after each atom.
Space group Pm-3m (No. 221)
One atom of each set of equivalent atoms:
Pu1 0.0000 0.0000 0.5000 [3 per cell]  4 Mg 3.36, 8 Pu 3.36
Mg1 0.5000 0.5000 0.5000 [1 per cell]  12 Pu 3.36

Energy (eV per atom): -10.90
Distance to the lowest polymorph of the same formula (meV per atom): 0
Energy relative to the elements (eV per atom): 0.251
Magnetization (μB per formula unit): 18.30

No. 2
DFT (PBE) results for a geometry-optimized PmEuPb2 structure.

Unit cell a=3.6244 b=3.6244 c=9.3054 alpha=90.00 beta=90.00 gamma=90.00
With the nearest neighbours (Å) after each atom.
Space group P4/mmm (No. 123)
One atom of each set of equivalent atoms:
Pm1 0.0000 0.0000 0.0000 [1 per cell]  8 Pb 3.43, 4 Pm 3.62
Eu1 0.0000 0.0000 0.5000 [1 per cell]  8 Pb 3.49, 4 Eu 3.62
Pb1 0.5000 0.5000 0.2456 [2 per cell]  4 Pm 3.43, 4 Eu 3.49, 4 Pb 3.62

Energy (eV per atom): -6.14
Energy relative to the elements (eV per atom): -0.526
Magnetization (μB per formula unit): 7.02

No. 3
DFT (PBE) results for a geometry-optimized Rb structure.

Unit cell a=4.5815 b=4.5815 c=4.5815 alpha=90.00 beta=90.00 gamma=90.00
With the nearest neighbours (Å) after each atom.
Space group Pm-3m (No. 221)
One atom of each set of equivalent atoms:
Rb1 0.0000 0.0000 0.0000 [1 per cell]  6 Rb 4.58

Energy (eV per atom): -0.87
Distance to the lowest polymorph of the same formula (meV per atom): 99
Energy relative to the elements (eV per atom): 0.099
Magnetization (μB per formula unit): 0.00